Record 1
Crystalline Ta2MnNi at its relaxed geometry. Source: Alexandria, functional PBE-GGA.

## Properties
Its total magnetization is 0.2 μB per formula unit. The calculation puts the offset from the most stable computed form at 1.34 eV/f.u. Its space group is R-3m. For the final energy, the calculation gives -9.469 eV/atom.

Cell lengths 7.9595, 7.9595, 7.9595 Å; angles 21.79, 21.79, 21.79 degrees
Each line ends with the local moment (μB).
Atoms (fractional coordinates):
1 Ta 0.9974 0.9974 0.9974  -0.03
2 Ta 0.5026 0.5026 0.5026  -0.03
3 Mn 0.2500 0.2500 0.2500  0.27
4 Ni 0.7500 0.7500 0.7500  0.01


Record 2
Crystalline Mg11Pd4Pt9 at its relaxed geometry. Source: Alexandria, functional PBE-GGA.

## Properties
Its total magnetization is 0.0 μB per formula unit. Its space group is Cmmm. For the final energy, the calculation gives -4.623 eV/atom.

Cell lengths 2.9753, 11.5732, 11.5732 Å; angles 105.12, 90.00, 90.00 degrees
Atoms (fractional coordinates):
1 Pd 0.5000 0.5845 0.7410
2 Mg 0.0000 0.6303 0.3697
3 Mg 0.0000 0.9410 0.5958
4 Mg 0.0000 0.7839 0.7839
5 Pt 0.5000 0.6093 0.1507
6 Pt 0.5000 0.8493 0.3907
7 Pd 0.5000 0.4155 0.2590
8 Mg 0.0000 0.4042 0.0590
9 Pt 0.5000 0.7981 0.9853
10 Pt 0.5000 0.1507 0.6093
11 Pt 0.5000 0.5000 0.5000
12 Mg 0.0000 0.2161 0.2161
13 Pt 0.5000 0.2019 0.0147
14 Mg 0.0000 0.3697 0.6303
15 Pt 0.5000 0.9853 0.7981
16 Mg 0.0000 0.0590 0.4042
17 Mg 0.0000 0.0000 0.0000
18 Pt 0.5000 0.3907 0.8493
19 Pd 0.5000 0.7410 0.5845
20 Pd 0.5000 0.2590 0.4155
21 Pt 0.5000 0.0147 0.2019
22 Mg 0.0000 0.1872 0.8128
23 Mg 0.0000 0.8128 0.1872
24 Mg 0.0000 0.5958 0.9410


Record 3
Crystalline ReCl2 at its relaxed geometry. Source: Alexandria, functional PBE-GGA.

## Properties
Its total magnetization is 0.0 μB per formula unit. The calculation puts the offset from the most stable computed form at 0.89 eV/f.u. Its space group is C2/m. For the final energy, the calculation gives -5.337 eV/atom. The uncorrected formation energy is 0.044 eV/atom.

Cell lengths 17.6689, 16.3722, 16.3722 Å; angles 169.30, 171.29, 13.50 degrees
Atoms (fractional coordinates):
1 Cl 0.3886 0.9337 0.4548
2 Cl 0.0942 0.1870 0.9073
3 Re 0.3529 0.6266 0.7263
4 Cl 0.9058 0.8130 0.0927
5 Cl 0.6114 0.0663 0.5452
6 Re 0.6471 0.3734 0.2737